No. 1
VASP calculation (PBEsol) on an optimized crystal structure of SnGe3I.

```
5
Lattice="-2.0690 2.2310 4.4054 3.0826 -3.1480 3.0419 3.8578 3.7119 -0.0679" Properties=species:S:1:pos:R:3 pbc="T T T"
I 0.0000 0.0000 0.0000
Ge 1.5413 -1.5740 1.5210
Ge 1.9289 1.8560 -0.0340
Ge -1.0345 1.1155 2.2027
Sn 2.4357 1.3974 3.6897
```

Properties
Formation energy (no corrections) ... 24.8 kcal/mol of atoms
Fermi-level density of states ... 2.70 states/eV/f.u.

***

No. 2
VASP calculation (PBEsol) on an optimized crystal structure of SnGeI3.

```
5
Lattice="-5.1937 1.7613 -2.2351 1.4909 -2.2779 -5.2594 -2.4239 -5.1751 1.5543" Properties=species:S:1:pos:R:3 pbc="T T T"
I 0.7454 -1.1390 -2.6297
I -1.2120 -2.5875 0.7772
I -2.5969 0.8807 -1.1176
Ge -3.0634 -2.8458 -2.9701
Sn 0.0000 0.0000 0.0000
```

Properties
Formation energy (no corrections) ... 7.0 kcal/mol of atoms
Fermi-level density of states ... 3.38 states/eV/f.u.

***

No. 3
VASP calculation (PBEsol) on an optimized crystal structure of Ta3GeI.

```
5
Lattice="4.9325 0.0000 0.0000 0.0000 4.9325 0.0000 0.0000 0.0000 4.9325" Properties=species:S:1:pos:R:3 pbc="T T T"
I 0.0000 0.0000 0.0000
Ge 2.4663 2.4663 2.4663
Ta 0.0000 2.4663 0.0000
Ta 0.0000 0.0000 2.4663
Ta 2.4663 0.0000 0.0000
```

Properties
Formation energy (no corrections) ... 50.9 kcal/mol of atoms
Fermi-level density of states ... 5.94 states/eV/f.u.

***

No. 4
VASP calculation (PBEsol) on an optimized crystal structure of TcGe3I.

```
5
Lattice="-3.2035 4.1037 -0.6464 -3.8757 -2.6583 2.3308 1.4957 1.9009 4.6551" Properties=species:S:1:pos:R:3 pbc="T T T"
I 0.0000 0.0000 0.0000
Ge -1.9378 -1.3292 1.1654
Ge 0.7479 0.9504 2.3275
Ge -1.6017 2.0518 -0.3232
Tc -2.7917 1.6731 3.1698
```

Properties
Formation energy (no corrections) ... 46.0 kcal/mol of atoms
Fermi-level density of states ... 4.34 states/eV/f.u.

***

No. 5
VASP calculation (PBEsol) on an optimized crystal structure of Ge3TeI.

```
5
Lattice="-0.4346 -0.8723 5.2833 4.9299 -2.1345 0.0531 2.0905 4.8524 0.9731" Properties=species:S:1:pos:R:3 pbc="T T T"
I 0.0000 0.0000 0.0000
Ge 2.4649 -1.0673 0.0265
Ge 1.0452 2.4262 0.4865
Ge -0.2173 -0.4361 2.6416
Te 3.2929 0.9228 3.1547
```

Properties
Formation energy (no corrections) ... 25.7 kcal/mol of atoms
Fermi-level density of states ... 5.97 states/eV/f.u.

***

No. 6
VASP calculation (PBEsol) on an optimized crystal structure of GeTeI3.

```
5
Lattice="-4.5670 -2.9794 2.2923 3.5556 -4.5946 1.1119 1.2205 2.2364 5.3383" Properties=species:S:1:pos:R:3 pbc="T T T"
I 1.7778 -2.2973 0.5560
I 0.6103 1.1182 2.6692
I -2.2835 -1.4897 1.1462
Ge 0.1045 -2.6688 4.3713
Te 0.0000 0.0000 0.0000
```

Properties
Formation energy (no corrections) ... 11.9 kcal/mol of atoms
Fermi-level density of states ... 4.31 states/eV/f.u.

***

No. 7
VASP calculation (PBEsol) on an optimized crystal structure of YGeTe2I.

```
5
Lattice="-0.3702 -3.8441 -4.1460 5.7862 -0.0041 -0.5128 0.3450 -4.2675 3.9259" Properties=species:S:1:pos:R:3 pbc="T T T"
I -0.1851 -1.9221 -2.0730
Y 0.0000 0.0000 0.0000
Ge 2.8805 -4.0578 -0.3665
Te 0.1725 -2.1337 1.9630
Te 2.8931 -0.0020 -0.2564
```

Properties
Formation energy (no corrections) ... -1.3 kcal/mol of atoms
Fermi-level density of states ... 2.18 states/eV/f.u.

***

No. 8
VASP calculation (PBEsol) on an optimized crystal structure of Ti3GeI.

```
5
Lattice="-2.2739 3.1337 2.8540 -4.2187 -1.3604 -1.8675 -0.4095 -3.3860 3.3916" Properties=species:S:1:pos:R:3 pbc="T T T"
I -3.4510 -0.8063 2.1890
Ge 0.0000 0.0000 0.0000
Ti -2.1093 -0.6802 -0.9338
Ti -0.2048 -1.6930 1.6958
Ti -1.1369 1.5668 1.4270
```

Properties
Formation energy (no corrections) ... 11.1 kcal/mol of atoms
Fermi-level density of states ... 5.89 states/eV/f.u.

***

No. 9
VASP calculation (PBEsol) on an optimized crystal structure of TlGeI3.

```
20
Lattice="4.3096 0.0000 0.0000 0.0000 10.0361 0.0000 0.0000 0.0000 16.0161" Properties=species:S:1:pos:R:3 pbc="T T T"
Tl 3.2322 0.5354 5.2496
Tl 1.0774 9.5007 10.7665
Tl 3.2322 5.5534 2.7584
Tl 1.0774 4.4827 13.2577
Ge 3.2322 3.3909 8.9399
Ge 1.0774 6.6452 7.0762
Ge 3.2322 8.4089 15.0842
Ge 1.0774 1.6272 0.9319
I 1.0774 0.2288 14.2037
I 3.2322 9.8073 1.8124
I 1.0774 5.2468 9.8205
I 3.2322 4.7893 6.1956
I 1.0774 1.6251 7.8750
I 3.2322 8.4110 8.1411
I 1.0774 6.6431 0.1331
I 3.2322 3.3929 15.8830
I 1.0774 2.8931 3.4843
I 3.2322 7.1430 12.5318
I 1.0774 7.9111 4.5237
I 3.2322 2.1250 11.4923
```

Properties
Formation energy (no corrections) ... -9.8 kcal/mol of atoms
Fermi-level density of states ... 0.00 states/eV/f.u.

***

No. 10
VASP calculation (PBEsol) on an optimized crystal structure of YTl2GeI.

```
5
Lattice="5.1380 0.0000 0.0000 0.0000 6.1717 0.0000 0.0000 0.0000 6.1717" Properties=species:S:1:pos:R:3 pbc="T T T"
I 2.5690 3.0858 3.0858
Y 0.0000 0.0000 0.0000
Tl 0.0000 0.0000 3.0858
Tl 0.0000 3.0858 0.0000
Ge 2.5690 0.0000 0.0000
```

Properties
Formation energy (no corrections) ... 9.4 kcal/mol of atoms
Fermi-level density of states ... 5.13 states/eV/f.u.

***

No. 11
VASP calculation (PBEsol) on an optimized crystal structure of YGe2I.

```
4
Lattice="5.1387 0.0000 0.0000 2.5693 4.4502 0.0000 2.5693 1.4834 4.1957" Properties=species:S:1:pos:R:3 pbc="T T T"
I 5.1387 2.9668 2.0979
Y 0.0000 0.0000 0.0000
Ge 2.5693 1.4834 1.0489
Ge 7.7080 4.4502 3.1468
```

Properties
Formation energy (no corrections) ... 3.1 kcal/mol of atoms
Fermi-level density of states ... 2.91 states/eV/f.u.

***

No. 12
VASP calculation (PBEsol) on an optimized crystal structure of ZrGe3I.

```
5
Lattice="5.1767 0.0000 0.0000 0.0000 5.1767 0.0000 0.0000 0.0000 5.1767" Properties=species:S:1:pos:R:3 pbc="T T T"
I 0.0000 0.0000 0.0000
Ge 0.0000 2.5884 0.0000
Ge 0.0000 0.0000 2.5884
Ge 2.5884 0.0000 0.0000
Zr 2.5884 2.5884 2.5884
```

Properties
Formation energy (no corrections) ... 30.2 kcal/mol of atoms
Fermi-level density of states ... 4.42 states/eV/f.u.

***

No. 13
VASP calculation (PBEsol) on an optimized crystal structure of Zr6GeI14.

```
42
Lattice="-5.0967 7.2190 5.9927 -8.4520 -6.2363 -1.9168 2.6831 -6.8881 10.5795" Properties=species:S:1:pos:R:3 pbc="T T T"
Zr -6.6452 -10.6979 8.6240
Zr -4.2204 4.7926 6.0314
Zr -5.1839 -3.7685 4.8927
Zr -6.4559 -5.2414 7.9378
Zr -5.6818 -2.1368 9.7628
Zr -4.4097 -0.6640 6.7176
Zr -6.8016 -5.5582 -0.0531
Zr -4.0641 -0.3472 14.7086
Zr -3.1288 -3.8498 7.8764
Zr -7.7368 -2.0556 6.7790
Zr -1.7188 -0.6053 1.7589
Zr -9.1469 -5.3000 12.8965
Ge 0.0000 0.0000 0.0000
Ge -5.4328 -2.9527 7.3277
I -3.1234 -3.0925 10.6396
I -7.7423 -2.8128 4.0158
I -6.0467 3.8689 8.0411
I -2.3079 0.2956 12.5337
I -4.8190 -9.7743 6.6143
I -8.5578 -6.2010 2.1217
I -6.8980 0.5726 6.0059
I -3.9676 -6.4780 8.6496
I -0.2507 -4.8975 12.5037
I -10.6150 -1.0079 2.1517
I -2.5386 -4.8419 5.2479
I -9.1739 -4.4591 7.4115
I -8.3271 -1.0635 9.4076
I -1.6918 -1.4463 7.2439
I -9.7682 2.3878 4.1478
I -1.0974 -8.2931 10.5077
I -7.7353 -7.8837 8.6373
I -3.1303 1.9783 6.0181
I -4.8080 -4.7493 2.0634
I -6.0577 -1.1561 12.5921
I -7.6024 -2.8293 0.0859
I -5.9463 3.8120 3.9899
I -6.2824 -6.3597 5.3250
I -4.5832 0.4543 9.3304
I -0.1831 -4.9019 8.4166
I -10.6826 -1.0035 6.2389
I -3.9924 -1.2789 3.8692
I -6.8733 -4.6265 10.7862
```

Properties
Formation energy (no corrections) ... -22.8 kcal/mol of atoms

***

No. 14
VASP calculation (PBEsol) on an optimized crystal structure of InGeIr3.

```
5
Lattice="4.5143 0.0000 0.0000 0.0000 4.5143 0.0000 0.0000 0.0000 4.5143" Properties=species:S:1:pos:R:3 pbc="T T T"
Ge 0.0000 0.0000 0.0000
Ir 0.0000 2.2572 0.0000
Ir 0.0000 0.0000 2.2572
Ir 2.2572 0.0000 0.0000
In 2.2572 2.2572 2.2572
```

Properties
DFT formation energy ... 0.90 eV per atom
Fermi-level density of states ... 1.39 states/eV/f.u.

***

No. 15
VASP calculation (PBEsol) on an optimized crystal structure of InGeIr2.

```
4
Lattice="-0.2968 2.4257 3.7250 0.2139 -1.9928 3.9788 3.5857 0.5629 2.5833" Properties=species:S:1:pos:R:3 pbc="T T T"
Ge 0.0000 0.0000 0.0000
Ir 0.8757 0.2489 2.5718
Ir 2.6271 0.7468 7.7154
In 1.7514 0.4979 5.1436
```

Properties
DFT formation energy ... 0.07 eV per atom
Fermi-level density of states ... 4.51 states/eV/f.u.

***

No. 16
VASP calculation (PBEsol) on an optimized crystal structure of In7GeIrO8.

```
17
Lattice="7.1809 0.0000 0.0000 3.5905 6.2189 0.0000 3.5905 2.0730 5.8632" Properties=species:S:1:pos:R:3 pbc="T T T"
In 7.1809 6.2171 4.3961
In 7.1809 2.0748 1.4671
In 5.3872 5.1815 1.4671
In 8.9746 5.1815 1.4671
In 8.9746 3.1103 4.3961
In 5.3872 3.1103 4.3961
In 3.5905 2.0730 1.4658
Ge 10.7714 6.2189 4.3974
Ir 0.0000 0.0000 0.0000
O 9.3112 5.3758 3.8013
O 7.1809 4.1459 5.2074
O 7.1809 1.6861 3.8013
O 5.3227 3.0731 2.1730
O 7.1809 4.1459 0.3226
O 7.1809 6.2916 2.1730
O 5.0507 5.3758 3.8013
O 9.0391 3.0731 2.1730
```

Properties
Formation energy (no corrections) ... -31.0 kcal/mol of atoms
Fermi-level density of states ... 1.97 states/eV/f.u.

***

No. 17
VASP calculation (PBEsol) on an optimized crystal structure of KIn2Ge2.

```
5
Lattice="-0.6067 -2.2550 -4.1544 -0.7237 -4.0948 2.3283 -4.9648 4.2924 1.1286" Properties=species:S:1:pos:R:3 pbc="T T T"
Ge -3.1768 -1.4886 1.2719
Ge -3.1183 -0.5687 -1.9694
K 0.0000 0.0000 0.0000
In -4.2428 0.8422 0.1624
In -2.0523 -2.8995 -0.8599
```

Properties
DFT formation energy ... -0.08 eV per atom
Fermi-level density of states ... 1.40 states/eV/f.u.

***

No. 18
VASP calculation (PBEsol) on an optimized crystal structure of KInGe2O6.

```
20
Lattice="-3.5777 1.4888 4.0959 -4.5510 -5.3678 -0.1566 2.7988 -3.3420 5.5269" Properties=species:S:1:pos:R:3 pbc="T T T"
K -2.1761 -2.8571 6.8268
K -3.1538 -4.3640 2.6395
In -6.4752 -4.0420 3.5023
In 1.1453 -3.1790 5.9639
Ge -0.8823 -1.8628 3.2324
Ge -4.4476 -5.3582 6.2339
Ge -1.3399 -5.7391 5.2058
Ge -3.9900 -1.4819 4.2604
O -4.5081 -4.1596 7.5728
O -2.3700 -2.2507 4.1275
O -0.8217 -3.0614 1.8935
O -2.9598 -4.9703 5.3388
O -0.2811 -4.7393 6.1351
O 0.5118 -2.1866 4.1998
O -5.0487 -2.4817 3.3312
O -5.8417 -5.0345 5.2664
O -4.3493 -6.9654 6.9550
O -3.8339 0.1954 3.7361
O -0.9806 -0.2556 2.5113
O -1.4960 -7.4164 5.7302
```

Properties
Formation energy (no corrections) ... -40.1 kcal/mol of atoms
Fermi-level density of states ... 0.00 states/eV/f.u.

***

No. 19
VASP calculation (PBEsol) on an optimized crystal structure of Li3InGe.

```
5
Lattice="4.7813 0.0000 0.0000 0.0000 4.7813 0.0000 0.0000 0.0000 4.7813" Properties=species:S:1:pos:R:3 pbc="T T T"
Ge 0.0000 0.0000 0.0000
Li 0.0000 2.3907 0.0000
Li 0.0000 0.0000 2.3907
Li 2.3907 0.0000 0.0000
In 2.3907 2.3907 2.3907
```

Properties
DFT formation energy ... 0.00 eV per atom
Fermi-level density of states ... 2.04 states/eV/f.u.

***

No. 20
VASP calculation (PBEsol) on an optimized crystal structure of LiInGeO4.

```
28
Lattice="5.0049 0.0000 0.0000 0.0000 6.0699 0.0000 0.0000 0.0000 10.7599" Properties=species:S:1:pos:R:3 pbc="T T T"
Li 0.0000 0.0000 0.0000
Li 2.5024 0.0000 5.3799
Li 0.0000 3.0349 0.0000
Li 2.5024 3.0349 5.3799
In 4.9662 1.5175 2.9199
In 2.5411 1.5175 8.2999
In 0.0387 4.5524 7.8399
In 2.4638 4.5524 2.4600
Ge 2.2087 1.5175 0.9245
Ge 0.2937 1.5175 6.3044
Ge 2.7962 4.5524 9.8354
Ge 4.7111 4.5524 4.4554
O 1.1459 2.8490 7.1604
O 3.8590 3.2209 3.5995
O 1.3566 2.8490 1.7804
O 1.1459 0.1860 7.1604
O 3.6483 5.8839 8.9794
O 1.0641 4.5524 9.7620
O 3.6483 3.2209 8.9794
O 3.8590 5.8839 3.5995
O 3.9407 1.5175 0.9979
O 1.4383 4.5524 4.3820
O 1.0676 1.5175 4.7305
O 3.5666 1.5175 6.3778
O 1.4348 1.5175 10.1104
O 3.5701 4.5524 0.6495
O 3.9373 4.5524 6.0294
O 1.3566 0.1860 1.7804
```

Properties
Formation energy (no corrections) ... -41.7 kcal/mol of atoms
Fermi-level density of states ... 0.00 states/eV/f.u.

***

No. 21
VASP calculation (PBEsol) on an optimized crystal structure of MgInNi2Ge.

```
5
Lattice="-3.5260 1.6197 -2.0711 -0.1138 -3.5555 -2.5867 -2.8569 -2.1970 3.1456" Properties=species:S:1:pos:R:3 pbc="T T T"
Ni -0.0569 -1.7777 -1.2933
Ni -1.7630 0.8098 -1.0355
Ge 0.0000 0.0000 0.0000
Mg -1.4284 -1.0985 1.5728
In -3.2483 -2.0664 -0.7561
```

Properties
DFT formation energy ... 0.36 eV per atom
Fermi-level density of states ... 4.67 states/eV/f.u.

***

No. 22
VASP calculation (PBEsol) on an optimized crystal structure of Mg2TaInGe.

```
5
Lattice="4.7841 0.0000 0.0000 0.0000 4.7841 0.0000 0.0000 0.0000 5.2198" Properties=species:S:1:pos:R:3 pbc="T T T"
Ge 0.0000 0.0000 0.0000
In 0.0000 0.0000 2.6099
Mg 0.0000 2.3920 0.0000
Mg 2.3920 0.0000 0.0000
Ta 2.3920 2.3920 2.6099
```

Properties
DFT formation energy ... 1.07 eV per atom
Fermi-level density of states ... 5.14 states/eV/f.u.

***

No. 23
VASP calculation (PBEsol) on an optimized crystal structure of YInGeMo2.

```
5
Lattice="4.9787 0.0000 0.0000 0.0000 4.9787 0.0000 0.0000 0.0000 5.3676" Properties=species:S:1:pos:R:3 pbc="T T T"
Y 0.0000 0.0000 2.6838
Mo 0.0000 2.4894 0.0000
Mo 2.4894 0.0000 0.0000
Ge 2.4894 2.4894 2.6838
In 0.0000 0.0000 0.0000
```

Properties
DFT formation energy ... 1.75 eV per atom
Fermi-level density of states ... 4.42 states/eV/f.u.